(1)
Material: CeHgP2Rh5
Method: DFT, GGA-PBE
State: optimized geometry

Structure (extended XYZ):
```
9
Lattice="4.0160 0.0000 0.0000 0.0000 4.0160 0.0000 0.0000 0.0000 10.5080" Properties=species:S:1:pos:R:3 pbc="T T T"
Ce 0.0000 0.0000 0.0000
Hg 0.0000 0.0000 5.2540
P 2.0080 2.0080 2.2759
P 2.0080 2.0080 8.2321
Rh 0.0000 2.0080 3.2976
Rh 0.0000 2.0080 7.2104
Rh 2.0080 0.0000 3.2976
Rh 2.0080 0.0000 7.2104
Rh 2.0080 2.0080 0.0000
```

* calculated total energy: -0.2382 hartree per atom

=====

(2)
Material: Ce4HgP3Rh12
Method: DFT, GGA-PBE
State: optimized geometry

Structure (extended XYZ):
```
20
Lattice="-4.5868 4.5868 4.5868 4.5868 -4.5868 4.5868 4.5868 4.5868 -4.5868" Properties=species:S:1:pos:R:3 pbc="T T T"
Ce 2.2934 2.2934 -2.2934
Ce 2.2934 -2.2934 2.2934
Ce -2.2934 2.2934 2.2934
Ce 2.2934 2.2934 2.2934
Hg 0.0000 0.0000 0.0000
P 4.5868 0.0000 0.0000
P 0.0000 4.5868 0.0000
P 0.0000 0.0000 4.5868
Rh 2.4999 0.0000 0.0000
Rh 6.6736 0.0000 0.0000
Rh 4.5868 2.2934 0.0000
Rh 4.5868 0.0000 2.2934
Rh 0.0000 2.4999 0.0000
Rh 0.0000 0.0000 2.4999
Rh 2.2934 4.5868 0.0000
Rh 2.2934 0.0000 4.5868
Rh 0.0000 6.6736 0.0000
Rh 0.0000 0.0000 6.6736
Rh 0.0000 4.5868 2.2934
Rh 0.0000 2.2934 4.5868
```

* calculated total energy: -0.2509 hartree per atom

=====

(3)
Material: CePaHg2
Method: DFT, GGA-PBE
State: optimized geometry

Structure (extended XYZ):
```
16
Lattice="7.5607 0.0000 0.0000 0.0000 7.5607 0.0000 0.0000 0.0000 7.5607" Properties=species:S:1:pos:R:3 pbc="T T T"
Ce 0.0000 0.0000 0.0000
Ce 0.0000 3.7803 3.7803
Ce 3.7803 0.0000 3.7803
Ce 3.7803 3.7803 0.0000
Pa 0.0000 0.0000 3.7803
Pa 0.0000 3.7803 0.0000
Pa 3.7803 0.0000 0.0000
Pa 3.7803 3.7803 3.7803
Hg 1.8902 1.8902 1.8902
Hg 1.8902 1.8902 5.6705
Hg 1.8902 5.6705 1.8902
Hg 1.8902 5.6705 5.6705
Hg 5.6705 1.8902 1.8902
Hg 5.6705 1.8902 5.6705
Hg 5.6705 5.6705 1.8902
Hg 5.6705 5.6705 5.6705
```

* E above lowest polymorph: 100.9 meV per atom
* calculated total energy: -0.1462 hartree per atom

=====

Calculated ρ (g cm⁻³), listed in the same order as above: 8.987, 8.986, 11.870
Calculated ΔH_f (0 K) (eV per atom), listed in the same order as above: -0.501, -0.404, 0.031